[1]
This record from Alexandria describes a relaxed structure of TbNd2Ho5Er. The functional is GGA-PBE.

## Properties
As for the space-group type: I4/mcm, No. 140. Its volume is 32.2 Å³ per atom. The calculation puts the formation energy at 274 meV/atom.

Cell: 8.6029 8.6029 9.9197 Å, 115.70 115.70 90.00°
Last column: nearest neighbours and their distance in Å.
Fractional coordinates of all 18 atoms:
Tb 0.2500 0.2500 0.5000  10 Ho 3.52-3.92
Tb 0.7500 0.7500 0.5000  10 Ho 3.52-3.92
Nd 0.1179 0.3821 0.0000  1 Nd 2.87, 2 Ho 3.01
Nd 0.6179 0.1179 0.0000  1 Nd 2.87, 2 Ho 3.01
Nd 0.3821 0.8821 0.0000  1 Nd 2.87, 2 Ho 3.01
Nd 0.8821 0.6179 0.0000  1 Nd 2.87, 2 Ho 3.01
Ho 0.9276 0.4276 0.2808  1 Nd 3.01, 1 Er 3.11
Ho 0.6468 0.1468 0.7192  1 Nd 3.01, 1 Er 3.11
Ho 0.0724 0.5724 0.7192  1 Nd 3.01, 1 Er 3.11
Ho 0.1468 0.0724 0.7192  1 Nd 3.01, 1 Er 3.11
Ho 0.5724 0.6468 0.7192  1 Nd 3.01, 1 Er 3.11
Ho 0.8532 0.9276 0.2808  1 Nd 3.01, 1 Er 3.11
Ho 0.4276 0.3532 0.2808  1 Nd 3.01, 1 Er 3.11
Ho 0.3532 0.8532 0.2808  1 Nd 3.01, 1 Er 3.11
Ho 0.5000 0.5000 0.0000  4 Nd 3.44, 8 Ho 3.78
Ho 0.0000 0.0000 0.0000  4 Nd 3.44, 8 Ho 3.78
Er 0.2500 0.7500 0.5000  4 Ho 3.11
Er 0.7500 0.2500 0.5000  4 Ho 3.11

=====

[2]
This record from Alexandria describes a relaxed structure of Nd2PuHfAs4. The functional is GGA-PBE.

## Properties
As for the space-group type: P2/m, No. 10. Its volume is 24.7 Å³ per atom. The calculation puts the formation energy at -1258 meV/atom.

Cell: 4.1122 7.1134 7.1431 Å, 109.20 90.00 90.00°
Last column: nearest neighbours and their distance in Å.
Fractional coordinates of all 8 atoms:
Nd 0.5000 0.0000 0.5000  6 As 2.95-2.96
Nd 0.0000 0.5000 0.5000  6 As 3.03
Pu 0.5000 0.5000 0.0000  6 As 2.87
Hf 0.0000 0.0000 0.0000  6 As 2.78-2.80
As 0.5000 0.2334 0.2269  2 Hf 2.80, 1 Pu 2.87, 3 Nd 2.95-3.03
As 0.5000 0.7666 0.7731  2 Hf 2.80, 1 Pu 2.87, 3 Nd 2.95-3.03
As 0.0000 0.2464 0.7682  1 Hf 2.78, 2 Pu 2.87, 3 Nd 2.96-3.03
As 0.0000 0.7536 0.2318  1 Hf 2.78, 2 Pu 2.87, 3 Nd 2.96-3.03

=====

[3]
This record from Alexandria describes a relaxed structure of TlFeP2. The functional is GGA-PBE.

## Properties
As for the offset from the most stable computed form: 0.2027 eV per atom. As for the space-group type: Pm, No. 6. Its volume is 17.9 Å³ per atom. The calculation puts the formation energy at 168 meV/atom.

Cell: 3.3647 3.6967 6.0212 Å, 73.45 90.00 90.00°
Last column: nearest neighbours and their distance in Å.
Fractional coordinates of all 4 atoms:
Fe 0.5000 0.8536 0.8259  4 P 2.18-2.34
P 0.0000 0.8626 0.0717  2 Fe 2.25, 2 P 2.25
P 0.5000 0.2758 0.0502  2 Fe 2.18-2.34, 2 P 2.25
Tl 0.0000 0.5081 0.5523  1 P 2.82, 4 Fe 2.89-3.02

=====

[4]
This record from Alexandria describes a relaxed structure of Pm2MnTl. The functional is GGA-PBE.

## Properties
As for the space-group type: P4/mmm, No. 123. Its volume is 26.9 Å³ per atom. The calculation puts the formation energy at -42 meV/atom.

Cell: 3.7088 3.7088 7.8335 Å, 90.00 90.00 90.00°
Last column: nearest neighbours and their distance in Å.
Fractional coordinates of all 4 atoms:
Tl 0.5000 0.5000 0.5000  8 Pm 3.37, 4 Tl 3.71
Mn 0.5000 0.5000 0.0000  8 Pm 3.18
Pm 0.0000 0.0000 0.7704  4 Mn 3.18, 4 Tl 3.37
Pm 0.0000 0.0000 0.2296  4 Mn 3.18, 4 Tl 3.37

=====

[5]
This record from Alexandria describes a relaxed structure of Cu2Au7. The functional is GGA-PBE.

## Properties
As for the offset from the most stable computed form: 0.0225 eV per atom. As for the space-group type: P-62m, No. 189. Its volume is 17.1 Å³ per atom. The calculation puts the formation energy at 23 meV/atom.

Cell: 2.9387 7.7721 7.7721 Å, 120.00 90.00 90.00°
Last column: nearest neighbours and their distance in Å.
Fractional coordinates of all 9 atoms:
Cu 0.0000 0.6667 0.3333  9 Au 2.67-2.87, 2 Cu 2.94
Cu 0.0000 0.3333 0.6667  9 Au 2.67-2.87, 2 Cu 2.94
Au 0.5000 0.6300 0.0000  9 Au 2.86-3.06, 4 Cu 2.87
Au 0.5000 0.0000 0.6300  9 Au 2.86-3.06, 4 Cu 2.87
Au 0.5000 0.3700 0.3700  9 Au 2.86-3.06, 4 Cu 2.87
Au 0.0000 0.3146 0.0000  2 Cu 2.67, 6 Au 2.85-2.94
Au 0.0000 0.0000 0.3146  2 Cu 2.67, 6 Au 2.85-2.94
Au 0.0000 0.6854 0.6854  2 Cu 2.67, 6 Au 2.85-2.94
Au 0.5000 0.0000 0.0000  11 Au 2.85-2.94

=====

[6]
This record from Alexandria describes a relaxed structure of Li3Cd2Au. The functional is GGA-PBE.

## Properties
As for the offset from the most stable computed form: 0.0000 eV per atom. As for the space-group type: Cmmm, No. 65. Its volume is 17.3 Å³ per atom. The calculation puts the formation energy at -358 meV/atom.

Cell: 4.4397 7.0816 6.9594 Å, 90.00 90.00 71.73°
Last column: nearest neighbours and their distance in Å.
Fractional coordinates of all 12 atoms:
Li 0.8261 0.3478 0.7752  3 Au 2.72, 5 Cd 2.81-3.02, 2 Li 3.02
Li 0.5000 0.0000 0.2393  2 Au 2.72, 6 Cd 2.78-2.88
Li 0.1739 0.6522 0.2248  3 Au 2.72, 5 Cd 2.81-3.02, 2 Li 3.02
Li 0.8261 0.3478 0.2248  3 Au 2.72, 5 Cd 2.81-3.02, 2 Li 3.02
Li 0.1739 0.6522 0.7752  3 Au 2.72, 5 Cd 2.81-3.02, 2 Li 3.02
Li 0.5000 0.0000 0.7607  2 Au 2.72, 6 Cd 2.78-2.88
Cd 0.0000 0.0000 0.0000  8 Li 2.78-2.81, 4 Au 3.09
Cd 0.0000 0.0000 0.5000  8 Li 2.87-3.02, 4 Cd 3.15
Cd 0.3340 0.3320 0.5000  8 Li 2.88-2.93, 4 Cd 3.15-3.17
Cd 0.6660 0.6680 0.5000  8 Li 2.88-2.93, 4 Cd 3.15-3.17
Au 0.3397 0.3205 0.0000  8 Li 2.72
Au 0.6603 0.6795 0.0000  8 Li 2.72

=====

[7]
This record from Alexandria describes a relaxed structure of Ho2PuTl9. The functional is GGA-PBE.

## Properties
As for the space-group type: P4/mmm, No. 123. Its volume is 27.1 Å³ per atom. The calculation puts the formation energy at -156 meV/atom.

Cell: 4.7638 4.7638 14.3220 Å, 90.00 90.00 90.00°
Last column: nearest neighbours and their distance in Å.
Fractional coordinates of all 12 atoms:
Ho 0.0000 0.0000 0.3360  12 Tl 3.35-3.38
Ho 0.0000 0.0000 0.6640  12 Tl 3.35-3.38
Pu 0.0000 0.0000 0.0000  12 Tl 3.37-3.39
Tl 0.5000 0.5000 0.0000  4 Pu 3.37, 8 Tl 3.39
Tl 0.5000 0.5000 0.3327  8 Tl 3.35-3.38, 4 Ho 3.37
Tl 0.5000 0.5000 0.6673  8 Tl 3.35-3.38, 4 Ho 3.37
Tl 0.5000 0.0000 0.1682  8 Tl 3.35-3.39, 2 Ho 3.38, 2 Pu 3.39
Tl 0.5000 0.0000 0.5000  4 Ho 3.35, 8 Tl 3.37-3.38
Tl 0.5000 0.0000 0.8318  8 Tl 3.35-3.39, 2 Ho 3.38, 2 Pu 3.39
Tl 0.0000 0.5000 0.1682  8 Tl 3.35-3.39, 2 Ho 3.38, 2 Pu 3.39
Tl 0.0000 0.5000 0.5000  4 Ho 3.35, 8 Tl 3.37-3.38
Tl 0.0000 0.5000 0.8318  8 Tl 3.35-3.39, 2 Ho 3.38, 2 Pu 3.39

=====

[8]
This record from Alexandria describes a relaxed structure of TlCuRu2. The functional is GGA-PBE.

## Properties
As for the offset from the most stable computed form: 0.2031 eV per atom. As for the space-group type: Immm, No. 71. Its volume is 15.8 Å³ per atom. The calculation puts the formation energy at 579 meV/atom.

Cell: 5.3519 5.3519 5.3519 Å, 147.91 128.62 61.88°
Last column: nearest neighbours and their distance in Å.
Fractional coordinates of all 4 atoms:
Cu 0.2500 0.7500 0.5000  4 Ru 2.62, 4 Tl 2.75
Ru 0.0141 0.0141 0.0000  2 Cu 2.62, 4 Ru 2.76, 2 Tl 2.84
Ru 0.4859 0.4859 0.0000  2 Cu 2.62, 4 Ru 2.76, 2 Tl 2.84
Tl 0.7500 0.2500 0.5000  4 Cu 2.75, 4 Ru 2.84, 2 Tl 2.96

=====

[9]
This record from Alexandria describes a relaxed structure of Ba5Tl2O. The functional is GGA-PBE.

## Properties
As for the space-group type: Pnma, No. 62. Its volume is 41.4 Å³ per atom. The uncorrected formation energy comes out at -0.7858 eV/atom.

Cell: 7.8505 10.0681 16.7498 Å, 90.00 90.00 90.00°
Last column: nearest neighbours and their distance in Å.
Fractional coordinates of all 32 atoms:
Ba 0.7500 0.7332 0.1459  2 Tl 3.39-3.46, 1 O 3.73
Ba 0.2500 0.2668 0.8541  2 Tl 3.39-3.46, 1 O 3.73
Ba 0.2500 0.7668 0.6459  2 Tl 3.39-3.46, 1 O 3.73
Ba 0.7500 0.2332 0.3541  2 Tl 3.39-3.46, 1 O 3.73
Ba 0.5083 0.6513 0.9055  1 O 2.64
Ba 0.4917 0.3487 0.0945  1 O 2.64
Ba 0.4917 0.8487 0.4055  1 O 2.64
Ba 0.0083 0.3487 0.0945  1 O 2.64
Ba 0.5083 0.1513 0.5945  1 O 2.64
Ba 0.9917 0.6513 0.9055  1 O 2.64
Ba 0.9917 0.1513 0.5945  1 O 2.64
Ba 0.0083 0.8487 0.4055  1 O 2.64
Ba 0.5000 0.0000 0.0000  2 O 2.86
Ba 0.5000 0.5000 0.5000  2 O 2.86
Ba 0.0000 0.0000 0.0000  2 O 2.86
Ba 0.0000 0.5000 0.5000  2 O 2.86
Ba 0.7500 0.9613 0.7961  1 O 2.62
Ba 0.2500 0.0387 0.2039  1 O 2.62
Ba 0.2500 0.5387 0.2961  1 O 2.62
Ba 0.7500 0.4613 0.7039  1 O 2.62
Tl 0.7500 0.5732 0.3239  6 Ba 3.39-3.70
Tl 0.2500 0.4268 0.6761  6 Ba 3.39-3.70
Tl 0.2500 0.9268 0.8239  6 Ba 3.39-3.70
Tl 0.7500 0.0732 0.1761  6 Ba 3.39-3.70
Tl 0.7500 0.8100 0.5870  10 Ba 3.68-4.07
Tl 0.2500 0.1900 0.4130  10 Ba 3.68-4.07
Tl 0.2500 0.6900 0.0870  10 Ba 3.68-4.07
Tl 0.7500 0.3100 0.9130  10 Ba 3.68-4.07
O 0.7500 0.8282 0.9306  5 Ba 2.62-2.86
O 0.2500 0.1718 0.0694  5 Ba 2.62-2.86
O 0.2500 0.6718 0.4306  5 Ba 2.62-2.86
O 0.7500 0.3282 0.5694  5 Ba 2.62-2.86

=====

[10]
This record from Alexandria describes a relaxed structure of NiSnBSb2. The functional is GGA-PBE.

## Properties
As for the space-group type: P4/mmm, No. 123. Its volume is 29.9 Å³ per atom. The uncorrected formation energy comes out at 1.7056 eV/atom.

Cell: 5.6572 4.6766 5.6572 Å, 90.00 90.00 90.00°
Last column: nearest neighbours and their distance in Å.
Fractional coordinates of all 5 atoms:
Sb 0.0000 0.0000 0.5000  2 Sn 2.83
Sb 0.5000 0.0000 0.0000  2 Sn 2.83
B 0.5000 0.5000 0.5000  8 Sb 3.67, 4 Ni 4.00
Sn 0.0000 0.0000 0.0000  2 Ni 2.34
Ni 0.0000 0.5000 0.0000  2 Sn 2.34

=====

[11]
This record from Alexandria describes a relaxed structure of Al5Co4Si. The functional is GGA-PBE.

## Properties
As for the space-group type: C2/m, No. 12. Its volume is 13.3 Å³ per atom. The uncorrected formation energy comes out at -0.4827 eV/atom.

Cell: 3.9954 5.5135 6.3784 Å, 88.68 108.25 90.00°
Last column: nearest neighbours and their distance in Å.
Fractional coordinates of all 10 atoms:
Al 0.1737 0.0111 0.3475  5 Co 2.43-2.51, 3 Al 2.66-2.72
Al 0.1719 0.4931 0.3439  5 Co 2.44-2.62, 1 Al 2.66
Al 0.8281 0.5069 0.6561  5 Co 2.44-2.62, 1 Al 2.66
Al 0.5000 0.5000 0.0000  6 Co 2.41-2.46
Al 0.8262 0.9889 0.6525  5 Co 2.43-2.51, 3 Al 2.66-2.72
Co 0.6577 0.7573 0.3153  1 Si 2.31, 7 Al 2.41-2.48
Co 0.9920 0.2395 0.9841  2 Si 2.40, 6 Al 2.44-2.62, 1 Co 2.64
Co 0.3423 0.2427 0.6847  1 Si 2.31, 7 Al 2.41-2.48
Co 0.0080 0.7605 0.0159  2 Si 2.40, 6 Al 2.44-2.62, 1 Co 2.64
Si 0.5000 0.0000 0.0000  6 Co 2.31-2.40